Run i
The following is a DFT calculation (PBE) of a relaxed structure of LiCaTiPt2.

POSCAR file:
```
LiCaTiPt2
1.0
4.798 0.000 0.000
0.000 4.738 0.000
0.000 0.000 4.798
Pt Li Ca Ti
2 1 1 1
direct
0.500 0.000 0.000 Pt
0.000 0.000 0.500 Pt
0.000 0.500 0.000 Li
0.500 0.500 0.500 Ca
0.000 0.000 0.000 Ti
```

Run ii
The following is a DFT calculation (PBE) of a relaxed structure of LiCaTiPt2.

POSCAR file:
```
LiCaTiPt2
1.0
-2.238 0.992 3.259
-3.293 0.370 -2.374
1.530 -6.245 0.403
Pt Ca Li Ti
2 1 1 1
direct
0.616 0.616 0.232 Pt
0.384 0.384 0.768 Pt
0.000 0.000 0.000 Ca
0.250 0.750 0.500 Li
0.750 0.250 0.500 Ti
```

Sorted by energy, starting with the most stable: run ii, run i.

Run i
The following is a DFT calculation (PBE) of a relaxed structure of RbLiCa.

POSCAR file:
```
RbLiCa
1.0
-1.813 -2.591 2.703
0.958 -3.224 -2.448
7.490 2.040 3.778
Ca Rb Li
1 1 1
direct
0.298 0.298 0.596 Ca
0.015 0.015 0.030 Rb
0.687 0.687 0.374 Li
```

Run ii
The following is a DFT calculation (PBE) of a relaxed structure of RbLiCa.

POSCAR file:
```
RbLiCa
1.0
4.460 0.047 -0.850
0.025 4.460 -0.850
-3.085 -3.100 15.920
Rb Li Ca
2 2 2
direct
0.930 0.930 0.642 Rb
0.070 0.070 0.358 Rb
0.725 0.725 0.073 Li
0.275 0.275 0.927 Li
0.283 0.283 0.128 Ca
0.717 0.717 0.872 Ca
```

Sorted by energy, starting with the most stable: run ii, run i.

Run i
The following is a DFT calculation (PBE) of a relaxed structure of RbLi2Ca2.

POSCAR file:
```
RbLi2Ca2
1.0
3.970 0.000 0.000
0.000 3.970 0.000
1.985 1.985 12.879
Rb Ca Li
1 2 2
direct
0.000 0.000 0.000 Rb
0.641 0.641 0.717 Ca
0.359 0.359 0.283 Ca
0.250 0.750 0.500 Li
0.750 0.250 0.500 Li
```

Run ii
The following is a DFT calculation (PBE) of a relaxed structure of RbLi2Ca2.

POSCAR file:
```
RbLi2Ca2
1.0
9.945 0.000 0.000
0.000 9.945 0.000
0.000 0.000 4.011
Li Ca Rb
4 4 2
direct
0.355 0.855 0.000 Li
0.645 0.145 0.000 Li
0.145 0.355 0.000 Li
0.855 0.645 0.000 Li
0.360 0.140 0.500 Ca
0.640 0.860 0.500 Ca
0.860 0.360 0.500 Ca
0.140 0.640 0.500 Ca
0.000 0.000 0.000 Rb
0.500 0.500 0.000 Rb
```

Sorted by energy, starting with the most stable: run ii, run i.

Run i
The following is a DFT calculation (PBE) of a relaxed structure of LiCa3Re.

POSCAR file:
```
LiCa3Re
1.0
-2.132 -5.015 -1.259
4.153 -0.849 -3.649
3.081 -2.325 4.047
Ca Re Li
3 1 1
direct
0.000 0.000 0.500 Ca
0.500 0.000 0.000 Ca
0.000 0.500 0.000 Ca
0.000 0.000 0.000 Re
0.500 0.500 0.500 Li
```

Run ii
The following is a DFT calculation (PBE) of a relaxed structure of LiCa3Re.

POSCAR file:
```
LiCa3Re
1.0
5.333 0.000 0.000
0.000 5.333 0.000
0.000 0.000 5.333
Re Ca Li
1 3 1
direct
0.500 0.500 0.500 Re
0.000 0.000 0.500 Ca
0.500 0.000 0.000 Ca
0.000 0.500 0.000 Ca
0.000 0.000 0.000 Li
```

Sorted by energy, starting with the most stable: run i, run ii.

Run i
The following is a DFT calculation (PBE) of a relaxed structure of LiCa2Re.

POSCAR file:
```
LiCa2Re
1.0
5.862 0.016 0.003
5.116 2.861 0.003
1.372 0.360 5.391
Li Ca Re
1 2 1
direct
0.542 0.542 0.516 Li
0.767 0.767 0.692 Ca
0.969 0.969 0.080 Ca
0.222 0.222 0.211 Re
```

Run ii
The following is a DFT calculation (PBE) of a relaxed structure of LiCa2Re.

POSCAR file:
```
LiCa2Re
1.0
-0.281 -3.912 3.210
0.039 -4.745 -1.779
4.047 -2.956 0.753
Ca Re Li
2 1 1
direct
0.000 0.000 0.000 Ca
0.250 0.250 0.250 Ca
0.750 0.750 0.750 Re
0.500 0.500 0.500 Li
```

Sorted by energy, starting with the most stable: run i, run ii.

Run i
The following is a DFT calculation (PBE) of a relaxed structure of LiCaRe.

POSCAR file:
```
LiCaRe
1.0
4.943 0.000 0.000
-2.472 4.281 0.000
0.000 0.000 2.593
Li Ca Re
1 1 1
direct
0.667 0.333 0.208 Li
0.000 0.000 0.139 Ca
0.333 0.667 0.653 Re
```

Run ii
The following is a DFT calculation (PBE) of a relaxed structure of LiCaRe.

POSCAR file:
```
LiCaRe
1.0
-4.700 -0.497 -0.455
-1.826 -1.730 -4.027
-1.934 -4.336 -0.060
Re Li Ca
1 1 1
direct
0.500 0.500 0.500 Re
0.000 0.000 0.000 Li
0.750 0.750 0.750 Ca
```

Run iii
The following is a DFT calculation (PBE) of a relaxed structure of LiCaRe.

POSCAR file:
```
LiCaRe
1.0
4.531 0.000 0.000
2.265 3.924 0.000
2.265 1.308 3.699
Re Ca Li
1 1 1
direct
0.000 0.000 0.000 Re
0.500 0.500 0.500 Ca
0.750 0.750 0.750 Li
```

Sorted by energy, starting with the most stable: run i, run iii, run ii.